[1]
! UZnSi2 | Alexandria via LeMat-Bulk | PBE | relaxed; values from VASP
! - Uncorrected formation energy: -0.208 eV/atom
&SYSTEM
  ibrav = 0, nat = 4, ntyp = 3
/
ATOMIC_SPECIES
Zn 65.41 Zn.upf
U 238.03 U.upf
Si 28.09 Si.upf
CELL_PARAMETERS angstrom
3.9052 0.0000 0.0000
0.0000 4.1959 0.0000
0.0000 0.0000 4.1959
ATOMIC_POSITIONS crystal
Zn 0.5000 0.5000 0.5000
U 0.5000 0.0000 0.0000
Si 0.0000 0.0000 0.5000
Si 0.0000 0.5000 0.0000

[2]
! SrReWC | Alexandria via LeMat-Bulk | PBE | relaxed; values from VASP
! - E above lowest polymorph: 151 meV/atom
! - ΔH_f (0 K): 0.63 eV/atom
&SYSTEM
  ibrav = 0, nat = 4, ntyp = 4
/
ATOMIC_SPECIES
Re 186.21 Re.upf
C 12.01 C.upf
W 183.84 W.upf
Sr 87.62 Sr.upf
CELL_PARAMETERS angstrom
-2.8490 0.9543 0.8010
-1.3458 -3.9301 -0.1152
2.0784 1.1989 5.7813
ATOMIC_POSITIONS crystal
Re 0.1327 0.3875 0.2957
C 0.1288 0.5785 0.0142
W 0.6328 0.8452 0.2267
Sr 0.6244 0.0621 0.7793

[3]
! Mg8CdAg6 | Alexandria via LeMat-Bulk | PBE | relaxed; values from VASP
! - ΔH_f (0 K): -0.13 eV/atom
&SYSTEM
  ibrav = 0, nat = 15, ntyp = 3
/
ATOMIC_SPECIES
Mg 24.30 Mg.upf
Cd 112.41 Cd.upf
Ag 107.87 Ag.upf
CELL_PARAMETERS angstrom
-3.2349 1.0862 -7.3444
-1.5159 -6.3876 -4.7419
-6.7617 -2.1855 -1.8099
ATOMIC_POSITIONS crystal
Mg 0.5580 0.2123 0.3494
Mg 0.7877 0.1196 0.6506
Mg 0.1196 0.4420 0.6506
Mg 0.6669 0.6669 0.9992
Mg 0.3331 0.3331 0.0008
Mg 0.8804 0.5580 0.3494
Mg 0.2123 0.8804 0.3494
Mg 0.4420 0.7877 0.6506
Cd 0.0000 0.0000 0.0000
Ag 0.3908 0.0500 0.8479
Ag 0.9500 0.2887 0.1521
Ag 0.2887 0.6092 0.1521
Ag 0.7113 0.3908 0.8479
Ag 0.0500 0.7113 0.8479
Ag 0.6092 0.9500 0.1521

| no. | DOS(E_F) (states/eV/f.u.) | calculated density (kg/m³) |
| --- | --- | --- |
| 1 | 5.28 | 8685 |
| 2 | 2.38 | 10157 |
| 3 | 8.14 | 4938 |